LiCaCo2 after structural relaxation, computed with PBE-GGA.

The calculation puts the total magnetic moment at 4.892 μB per cell. The value obtained for the total energy is -46.22 eV/cell.

The space group is R-3m (No. 166, hexagonal axes) and the conventional cell measures 2.8360, 2.8360 and 26.1530 Å, with angles of 90.00, 90.00 and 120.00 degrees. The distinct sites, in fractional coordinates, are Li at (0.0000, 0.0000, 0.0000), Ca at (0.0000, 0.0000, 0.5000) and Co at (0.0000, 0.0000, 0.2548).

=====

LiCaCo2 after structural relaxation, computed with PBE-GGA.

The calculation puts the total magnetic moment at 4.465 μB per cell. The value obtained for the total energy is -34.31 eV/cell.

The space group is C2/m (No. 12) and the conventional cell measures 7.064, 4.080 and 5.579 Å, with angles of 90.00, 114.62 and 90.00 degrees. The distinct sites, in fractional coordinates, are Li at (0.000, 0.000, 0.000), Ca at (0.000, 0.500, 0.500) and Co at (0.182, 0.500, 0.047).

=====

LiCaCo after structural relaxation, computed with PBE-GGA.

The calculation puts the total magnetic moment at 3.903 μB per cell. The value obtained for the total energy is -42.54 eV/cell.

The space group is C2/m (No. 12) and the conventional cell measures 13.083, 3.901 and 5.374 Å, with angles of 90.00, 102.92 and 90.00 degrees. The distinct sites, in fractional coordinates, are Li at (0.091, 0.000, 0.303), Ca at (0.135, 0.500, 0.824) and Co at (0.231, 0.500, 0.402).

=====

Li2CaCo after structural relaxation, computed with PBE-GGA.

The calculation puts the total magnetic moment at 0.892 μB per cell. The value obtained for the total energy is -11.57 eV/cell.

The space group is P2/m (No. 10) and the conventional cell measures 3.083, 4.861 and 5.104 Å, with angles of 90.00, 97.23 and 90.00 degrees. The distinct sites, in fractional coordinates, are Li at (0.211, 0.000, 0.303), Ca at (0.500, 0.500, 0.000) and Co at (0.000, 0.500, 0.500).

=====

LiCaCo3 after structural relaxation, computed with PBE-GGA.

The calculation puts the total magnetic moment at 4.045 μB per cell. The value obtained for the total energy is -16.49 eV/cell.

The space group is Pm-3m (No. 221) and the conventional cell measures 4.679, 4.679 and 4.679 Å, with angles of 90.00, 90.00 and 90.00 degrees. The distinct sites, in fractional coordinates, are Li at (0.000, 0.000, 0.000), Ca at (0.500, 0.500, 0.500) and Co at (0.000, 0.500, 0.500).

=====

LiCaCo after structural relaxation, computed with PBE-GGA.

The calculation puts the total magnetic moment at 0.745 μB per cell. The value obtained for the total energy is -9.82 eV/cell.

The space group is P-6m2 (No. 187) and the conventional cell measures 4.6188, 4.6188 and 3.0840 Å, with angles of 90.00, 90.00 and 120.00 degrees. The distinct sites, in fractional coordinates, are Li at (0.0000, 0.0000, 0.0000), Ca at (0.6667, 0.3333, 0.5000) and Co at (0.3333, 0.6667, 0.0000).

=====

What ρ values result from the calculations? In sequence: 4.51, 3.75, 2.63, 2.47, 3.63, 3.09 Mg/m³.
What ΔE to the lowest computed polymorph values result from the calculations? In sequence: 2.20, 0.45, 0.00, 0.23, 4.75, 0.82 eV per formula unit.